First-principles (GGA-PBE) data for a geometry-optimized ScFeHg2Ir structure, as listed in the Alexandria database.

Calculated values
Space-group type   No. 123
DOS at the Fermi energy   6.19 states/eV/cell
Energy   -4.21 eV per atom

Unit cell a=5.2318 b=5.2318 c=4.8008 alpha=90.00 beta=90.00 gamma=90.00
Last column: nearest neighbours and their distance in Å.
Atoms (fractional coordinates):
1 Sc 0.0000 0.0000 0.0000  2 Ir 2.40
2 Fe 0.5000 0.5000 0.0000  8 Hg 3.55, 4 Sc 3.70
3 Hg 0.0000 0.5000 0.5000  2 Ir 2.62
4 Hg 0.5000 0.0000 0.5000  2 Ir 2.62
5 Ir 0.0000 0.0000 0.5000  2 Sc 2.40, 4 Hg 2.62